Version A
Below is a geometry-optimized YZnAsSe2 structure, with properties calculated at the PBE level.

density of states at the Fermi level: 1.303 states/eV per atom
theoretical density: 3.88 g cm⁻³

a = 5.431 Å, b = 5.431 Å, c = 5.623 Å
α = 90.00°, β = 90.00°, γ = 90.00°
Sites, in units of the cell vectors:
Y1 0.000 0.000 0.000
As1 0.000 0.000 0.500
Zn1 0.500 0.500 0.500
Se1 0.000 0.500 0.000
Se2 0.500 0.000 0.000

Version B
Below is a geometry-optimized YZnAsSe2 structure, with properties calculated at the PBE level.

density of states at the Fermi level: 0.918 states/eV per atom
theoretical density: 5.47 g cm⁻³

a = 4.968 Å, b = 4.968 Å, c = 4.762 Å
α = 90.00°, β = 90.00°, γ = 90.00°
Sites, in units of the cell vectors:
Y1 0.500 0.500 0.500
As1 0.000 0.000 0.500
Zn1 0.000 0.000 0.000
Se1 0.000 0.500 0.000
Se2 0.500 0.000 0.000

Energies relative to the most stable structure are version A 312; version B 0, reported in meV/atom.